# 1
Here is YGe3Pd at its PBEsol-relaxed geometry from the Alexandria database. Energies are from SCAN.

a = 4.8036 Å, b = 4.8036 Å, c = 4.8036 Å
α = 90.00°, β = 90.00°, γ = 90.00°
Fractional coordinates of all 5 atoms:
Y1 0.0000 0.0000 0.0000
Ge1 0.0000 0.5000 0.5000
Ge2 0.5000 0.0000 0.5000
Ge3 0.5000 0.5000 0.0000
Pd1 0.5000 0.5000 0.5000

calculated formation energy = -26 meV/atom
calculated density = 6.19 g/cm3
space-group type = Pm-3m (221)
V = 110.8 Å³ per cell



# 2
Here is Y2Ge2Pd at its PBEsol-relaxed geometry from the Alexandria database. Energies are from SCAN.

a = 6.7522 Å, b = 6.7522 Å, c = 4.3652 Å
α = 90.00°, β = 90.00°, γ = 90.00°
Fractional coordinates of all 10 atoms:
Y1 0.1722 0.3278 0.0000
Y2 0.3278 0.8278 0.0000
Y3 0.6722 0.1722 0.0000
Y4 0.8278 0.6722 0.0000
Ge1 0.1367 0.6367 0.5000
Ge2 0.3633 0.1367 0.5000
Ge3 0.6367 0.8633 0.5000
Ge4 0.8633 0.3633 0.5000
Pd1 0.0000 0.0000 0.5000
Pd2 0.5000 0.5000 0.5000

calculated formation energy = -1013 meV/atom
calculated density = 7.17 g/cm3
space-group type = P4/mbm (127)
V = 199.0 Å³ per cell